1.
First-principles (PBE-GGA) data for an optimized crystal structure of Tb8CeHo5, as listed in Alexandria.

```
data_Tb8CeHo5
_chemical_formula_sum 'Tb8 Ce1 Ho5'
_cell_length_a 8.4080
_cell_length_b 8.4080
_cell_length_c 8.4080
_cell_angle_alpha 111.84
_cell_angle_beta 111.84
_cell_angle_gamma 104.84
_space_group_name_H-M_alt 'P 1'
_space_group_IT_number 1
_space_group_name_Hall 'P 1'
loop_
_atom_site_label
_atom_site_fract_x
_atom_site_fract_y
_atom_site_fract_z
_atom_site_occupancy
Tb1 0.0744 0.3249 0.6063 1
Tb2 0.1686 0.4322 0.0956 1
Tb3 0.3366 0.0730 0.9044 1
Tb4 0.5319 0.9256 0.2505 1
Tb5 0.5678 0.6634 0.7364 1
Tb6 0.6751 0.2814 0.7495 1
Tb7 0.7186 0.4681 0.3937 1
Tb8 0.9270 0.8314 0.2636 1
Ce1 0.2500 0.7500 0.5000 1
Ho1 0.0389 0.7184 0.9028 1
Ho2 0.2816 0.1844 0.3205 1
Ho3 0.5000 0.5000 0.0000 1
Ho4 0.8156 0.1361 0.0972 1
Ho5 0.8639 0.9611 0.6795 1
```

Properties
**Symmetry**: I-4
**ΔE_f**: 0.27 eV per atom

***

2.
First-principles (PBE-GGA) data for an optimized crystal structure of MnReSb2P, as listed in Alexandria.

```
data_MnReSb2P
_chemical_formula_sum 'Mn1 Re1 Sb2 P1'
_cell_length_a 5.0934
_cell_length_b 5.0934
_cell_length_c 4.8830
_cell_angle_alpha 90.00
_cell_angle_beta 90.00
_cell_angle_gamma 90.00
_space_group_name_H-M_alt 'P 1'
_space_group_IT_number 1
_space_group_name_Hall 'P 1'
loop_
_atom_site_label
_atom_site_fract_x
_atom_site_fract_y
_atom_site_fract_z
_atom_site_occupancy
Mn1 0.0000 0.0000 0.0000 1
Re1 0.0000 0.0000 0.5000 1
Sb1 0.0000 0.5000 0.5000 1
Sb2 0.5000 0.0000 0.5000 1
P1 0.5000 0.5000 0.0000 1
```

Properties
**Symmetry**: P4/mmm
**Electronic total energy**: -6.0359 eV per atom

***

3.
First-principles (PBE-GGA) data for an optimized crystal structure of TeAsBr2Cl, as listed in Alexandria.

```
data_TeAsBr2Cl
_chemical_formula_sum 'Te1 As1 Br2 Cl1'
_cell_length_a 5.4232
_cell_length_b 5.4232
_cell_length_c 5.8459
_cell_angle_alpha 90.00
_cell_angle_beta 90.00
_cell_angle_gamma 90.00
_space_group_name_H-M_alt 'P 1'
_space_group_IT_number 1
_space_group_name_Hall 'P 1'
loop_
_atom_site_label
_atom_site_fract_x
_atom_site_fract_y
_atom_site_fract_z
_atom_site_occupancy
Te1 0.0000 0.0000 0.0000 1
As1 0.0000 0.0000 0.5000 1
Br1 0.0000 0.5000 0.0000 1
Br2 0.5000 0.0000 0.0000 1
Cl1 0.5000 0.5000 0.5000 1
```

Properties
**Symmetry**: P4/mmm
**Energy above the most stable polymorph in this dataset**: 0.0 kJ per mole of atoms

***

4.
First-principles (PBE-GGA) data for an optimized crystal structure of Na2CO2, as listed in Alexandria.

```
data_Na2CO2
_chemical_formula_sum 'Na4 C2 O4'
_cell_length_a 7.0255
_cell_length_b 7.0255
_cell_length_c 2.2301
_cell_angle_alpha 90.00
_cell_angle_beta 90.00
_cell_angle_gamma 90.00
_space_group_name_H-M_alt 'P 1'
_space_group_IT_number 1
_space_group_name_Hall 'P 1'
loop_
_atom_site_label
_atom_site_fract_x
_atom_site_fract_y
_atom_site_fract_z
_atom_site_occupancy
Na1 0.1402 0.3598 0.0000 1
Na2 0.3598 0.8598 0.0000 1
Na3 0.6402 0.1402 0.0000 1
Na4 0.8598 0.6402 0.0000 1
C1 0.0000 0.0000 0.0000 1
C2 0.5000 0.5000 0.0000 1
O1 0.1605 0.6605 0.5000 1
O2 0.3395 0.1605 0.5000 1
O3 0.6605 0.8395 0.5000 1
O4 0.8395 0.3395 0.5000 1
```

Properties
**Symmetry**: P4/mbm
**Energy above the most stable polymorph in this dataset**: 0.0 kJ per mole of atoms

***

5.
First-principles (PBE-GGA) data for an optimized crystal structure of SiTe, as listed in Alexandria.

```
data_SiTe
_chemical_formula_sum 'Si6 Te6'
_cell_length_a 12.6715
_cell_length_b 3.7539
_cell_length_c 7.0853
_cell_angle_alpha 90.00
_cell_angle_beta 101.39
_cell_angle_gamma 90.00
_space_group_name_H-M_alt 'P 1'
_space_group_IT_number 1
_space_group_name_Hall 'P 1'
loop_
_atom_site_label
_atom_site_fract_x
_atom_site_fract_y
_atom_site_fract_z
_atom_site_occupancy
Si1 0.0000 0.0000 0.0000 1
Si2 0.0288 0.5000 0.5376 1
Si3 0.1645 0.0000 0.6406 1
Si4 0.5000 0.5000 0.0000 1
Si5 0.5288 0.0000 0.5376 1
Si6 0.6645 0.5000 0.6406 1
Te1 0.1561 0.5000 0.9354 1
Te2 0.3832 0.5000 0.6402 1
Te3 0.4016 0.0000 0.1737 1
Te4 0.6561 0.0000 0.9354 1
Te5 0.8832 0.0000 0.6402 1
Te6 0.9016 0.5000 0.1737 1
```

Properties
**Symmetry**: Cm
**Electronic total energy**: -4.0122 eV per atom

***

6.
First-principles (PBE-GGA) data for an optimized crystal structure of TaCu2W, as listed in Alexandria.

```
data_TaCu2W
_chemical_formula_sum 'Ta4 Cu8 W4'
_cell_length_a 6.9644
_cell_length_b 6.9644
_cell_length_c 5.1528
_cell_angle_alpha 90.00
_cell_angle_beta 90.00
_cell_angle_gamma 90.00
_space_group_name_H-M_alt 'P 1'
_space_group_IT_number 1
_space_group_name_Hall 'P 1'
loop_
_atom_site_label
_atom_site_fract_x
_atom_site_fract_y
_atom_site_fract_z
_atom_site_occupancy
Ta1 0.0000 0.0000 0.0000 1
Ta2 0.0000 0.5000 0.2500 1
Ta3 0.5000 0.0000 0.7500 1
Ta4 0.5000 0.5000 0.5000 1
Cu1 0.2435 0.2500 0.6250 1
Cu2 0.2500 0.7435 0.8750 1
Cu3 0.2500 0.7565 0.3750 1
Cu4 0.2565 0.2500 0.1250 1
Cu5 0.7435 0.7500 0.1250 1
Cu6 0.7500 0.2435 0.3750 1
Cu7 0.7500 0.2565 0.8750 1
Cu8 0.7565 0.7500 0.6250 1
W1 0.0000 0.0000 0.5000 1
W2 0.0000 0.5000 0.7500 1
W3 0.5000 0.0000 0.2500 1
W4 0.5000 0.5000 0.0000 1
```

Properties
**Symmetry**: I-42d
**ΔE_f**: 0.73 eV per atom
**Energy above the most stable polymorph in this dataset**: 57.1 kJ per mole of atoms

***

7.
First-principles (PBE-GGA) data for an optimized crystal structure of GaBiTeI2, as listed in Alexandria.

```
data_GaBiTeI2
_chemical_formula_sum 'Ga1 Bi1 Te1 I2'
_cell_length_a 5.4902
_cell_length_b 5.4902
_cell_length_c 5.6251
_cell_angle_alpha 90.00
_cell_angle_beta 90.00
_cell_angle_gamma 90.00
_space_group_name_H-M_alt 'P 1'
_space_group_IT_number 1
_space_group_name_Hall 'P 1'
loop_
_atom_site_label
_atom_site_fract_x
_atom_site_fract_y
_atom_site_fract_z
_atom_site_occupancy
Ga1 0.0000 0.0000 0.0000 1
Bi1 0.5000 0.5000 0.5000 1
Te1 0.0000 0.0000 0.5000 1
I1 0.0000 0.5000 0.0000 1
I2 0.5000 0.0000 0.0000 1
```

Properties
**Symmetry**: P4/mmm
**Energy above the most stable polymorph in this dataset**: 13.6 kJ per mole of atoms

***

8.
First-principles (PBE-GGA) data for an optimized crystal structure of ThPd2Pt2, as listed in Alexandria.

```
data_ThPd2Pt2
_chemical_formula_sum 'Th4 Pd8 Pt8'
_cell_length_a 7.2934
_cell_length_b 4.2055
_cell_length_c 12.5804
_cell_angle_alpha 90.00
_cell_angle_beta 90.00
_cell_angle_gamma 90.00
_space_group_name_H-M_alt 'P 1'
_space_group_IT_number 1
_space_group_name_Hall 'P 1'
loop_
_atom_site_label
_atom_site_fract_x
_atom_site_fract_y
_atom_site_fract_z
_atom_site_occupancy
Th1 0.1854 0.2500 0.0755 1
Th2 0.3146 0.7500 0.5755 1
Th3 0.6854 0.2500 0.4245 1
Th4 0.8146 0.7500 0.9245 1
Pd1 0.0131 0.7500 0.7314 1
Pd2 0.2429 0.7500 0.2599 1
Pd3 0.2571 0.2500 0.7599 1
Pd4 0.4869 0.2500 0.2314 1
Pd5 0.5131 0.7500 0.7686 1
Pd6 0.7429 0.7500 0.2401 1
Pd7 0.7571 0.2500 0.7401 1
Pd8 0.9869 0.2500 0.2686 1
Pt1 0.0179 0.2500 0.5807 1
Pt2 0.2234 0.7500 0.9162 1
Pt3 0.2766 0.2500 0.4162 1
Pt4 0.4821 0.7500 0.0807 1
Pt5 0.5179 0.2500 0.9193 1
Pt6 0.7234 0.7500 0.5838 1
Pt7 0.7766 0.2500 0.0838 1
Pt8 0.9821 0.7500 0.4193 1
```

Properties
**Symmetry**: Pnma
**ΔE_f**: -0.75 eV per atom
**Energy above the most stable polymorph in this dataset**: 0.0 kJ per mole of atoms